Entry 1:
A relaxed Ge2Te4Cl3 crystal. Source: Alexandria via LeMat-Bulk, functional PBE. Values from VASP.

- ΔE_f (raw) (eV per atom) = -0.22

Geometry as Quantum ESPRESSO input:
```
&SYSTEM
  ibrav = 0, nat = 18, ntyp = 3
/
ATOMIC_SPECIES
Te 127.60 Te.upf
Cl 35.45 Cl.upf
Ge 72.64 Ge.upf
CELL_PARAMETERS angstrom
8.298 -0.319 -0.228
-0.240 8.990 -0.931
-0.240 2.015 8.810
ATOMIC_POSITIONS crystal
Te 0.379 0.605 0.739
Te 0.039 0.696 0.086
Te 0.121 0.261 0.395
Te 0.879 0.739 0.605
Te 0.961 0.304 0.914
Te 0.539 0.086 0.696
Te 0.621 0.395 0.261
Te 0.461 0.914 0.304
Cl 0.750 0.469 0.531
Cl 0.000 0.044 0.282
Cl 0.500 0.282 0.044
Cl 0.500 0.718 0.956
Cl 0.000 0.956 0.718
Cl 0.250 0.531 0.469
Ge 0.450 0.165 0.416
Ge 0.550 0.835 0.584
Ge 0.950 0.416 0.165
Ge 0.050 0.584 0.835
```

---

Entry 2:
A relaxed GeTeCl2 crystal. Source: Alexandria via LeMat-Bulk, functional PBE. Values from VASP.

- energy above the most stable polymorph in this dataset (eV per atom) = 0.4891
- ΔE_f (raw) (eV per atom) = -0.10

Geometry as Quantum ESPRESSO input:
```
&SYSTEM
  ibrav = 0, nat = 8, ntyp = 3
/
ATOMIC_SPECIES
Ge 72.64 Ge.upf
Cl 35.45 Cl.upf
Te 127.60 Te.upf
CELL_PARAMETERS angstrom
9.474 0.000 0.000
0.000 9.474 0.000
4.737 4.737 2.823
ATOMIC_POSITIONS crystal
Ge 0.500 0.500 0.000
Ge 0.250 0.750 0.500
Cl 0.875 0.729 0.750
Cl 0.271 0.625 0.250
Cl 0.479 0.125 0.250
Cl 0.375 0.521 0.750
Te 0.750 0.250 0.500
Te 0.000 0.000 0.000
```

---

Entry 3:
A relaxed Tl5GeTe4Cl2 crystal. Source: Alexandria via LeMat-Bulk, functional PBE. Values from VASP.

- ΔE_f (raw) (eV per atom) = -0.42

Geometry as Quantum ESPRESSO input:
```
&SYSTEM
  ibrav = 0, nat = 12, ntyp = 4
/
ATOMIC_SPECIES
Tl 204.38 Tl.upf
Te 127.60 Te.upf
Cl 35.45 Cl.upf
Ge 72.64 Ge.upf
CELL_PARAMETERS angstrom
-0.402 8.663 0.959
-5.070 -4.479 -1.360
-1.559 -1.127 9.522
ATOMIC_POSITIONS crystal
Tl 0.741 0.621 0.745
Tl 0.415 0.000 0.500
Tl 0.121 0.379 0.255
Tl 0.741 0.621 0.255
Tl 0.121 0.379 0.745
Te 0.556 0.000 0.796
Te 0.994 0.586 0.000
Te 0.408 0.414 0.000
Te 0.556 0.000 0.204
Cl 0.997 0.595 0.500
Cl 0.402 0.405 0.500
Ge 0.353 0.000 0.000
```

---

Entry 4:
A relaxed TlGeTeCl2 crystal. Source: Alexandria via LeMat-Bulk, functional PBE. Values from VASP.

- ΔE_f (raw) (eV per atom) = -0.48

Geometry as Quantum ESPRESSO input:
```
&SYSTEM
  ibrav = 0, nat = 5, ntyp = 4
/
ATOMIC_SPECIES
Ge 72.64 Ge.upf
Te 127.60 Te.upf
Cl 35.45 Cl.upf
Tl 204.38 Tl.upf
CELL_PARAMETERS angstrom
-4.515 0.586 2.476
-2.196 -3.445 -3.189
1.368 -4.074 3.460
ATOMIC_POSITIONS crystal
Ge 0.000 0.000 0.000
Te 0.000 0.000 0.500
Cl 0.500 0.000 0.000
Cl 0.000 0.500 0.000
Tl 0.500 0.500 0.500
```

---

Entry 5:
A relaxed Y3GeTeCl crystal. Source: Alexandria via LeMat-Bulk, functional PBE. Values from VASP.

- ΔE_f (raw) (eV per atom) = -1.20

Geometry as Quantum ESPRESSO input:
```
&SYSTEM
  ibrav = 0, nat = 12, ntyp = 4
/
ATOMIC_SPECIES
Cl 35.45 Cl.upf
Y 88.91 Y.upf
Ge 72.64 Ge.upf
Te 127.60 Te.upf
CELL_PARAMETERS angstrom
-2.756 -1.392 -2.787
1.201 -8.089 2.852
-7.300 1.824 6.308
ATOMIC_POSITIONS crystal
Cl 0.750 0.864 0.427
Cl 0.250 0.136 0.573
Y 0.250 0.136 0.860
Y 0.750 0.338 0.573
Y 0.250 0.662 0.427
Y 0.250 0.596 0.849
Y 0.750 0.864 0.140
Y 0.750 0.404 0.151
Ge 0.750 0.364 0.857
Ge 0.250 0.636 0.143
Te 0.750 0.865 0.820
Te 0.250 0.135 0.180
```

---

Entry 6:
A relaxed Th6Ge5Cl crystal. Source: Alexandria via LeMat-Bulk, functional PBE. Values from VASP.

- ΔE_f (raw) (eV per atom) = -0.88

Geometry as Quantum ESPRESSO input:
```
&SYSTEM
  ibrav = 0, nat = 12, ntyp = 3
/
ATOMIC_SPECIES
Ge 72.64 Ge.upf
Cl 35.45 Cl.upf
Th 232.04 Th.upf
CELL_PARAMETERS angstrom
7.333 0.173 1.111
1.797 6.226 3.629
0.122 0.072 7.416
ATOMIC_POSITIONS crystal
Ge 0.500 0.164 0.672
Ge 0.500 0.500 0.000
Ge 0.000 0.332 0.335
Ge 0.000 0.668 0.665
Ge 0.500 0.836 0.328
Cl 0.000 0.000 0.000
Th 0.255 0.258 0.000
Th 0.743 0.086 0.342
Th 0.257 0.572 0.342
Th 0.257 0.914 0.658
Th 0.745 0.742 0.000
Th 0.743 0.428 0.658
```

---

Entry 7:
A relaxed ThGeCl6 crystal. Source: Alexandria via LeMat-Bulk, functional PBE. Values from VASP.

- ΔE_f (raw) (eV per atom) = -1.58

Geometry as Quantum ESPRESSO input:
```
&SYSTEM
  ibrav = 0, nat = 16, ntyp = 3
/
ATOMIC_SPECIES
Cl 35.45 Cl.upf
Th 232.04 Th.upf
Ge 72.64 Ge.upf
CELL_PARAMETERS angstrom
7.615 0.528 -0.397
2.628 7.167 -0.397
-0.876 -0.658 10.292
ATOMIC_POSITIONS crystal
Cl 0.344 0.799 0.127
Cl 0.881 0.776 0.058
Cl 0.776 0.881 0.558
Cl 0.224 0.119 0.442
Cl 0.201 0.656 0.373
Cl 0.656 0.201 0.873
Cl 0.523 0.200 0.220
Cl 0.800 0.477 0.280
Cl 0.200 0.523 0.720
Cl 0.119 0.224 0.942
Cl 0.799 0.344 0.627
Cl 0.477 0.800 0.780
Th 0.500 0.000 0.000
Th 0.000 0.500 0.500
Ge 0.938 0.062 0.750
Ge 0.062 0.938 0.250
```

---

Entry 8:
A relaxed Th5Ge4Cl crystal. Source: Alexandria via LeMat-Bulk, functional PBE. Values from VASP.

- ΔE_f (raw) (eV per atom) = -0.88

Geometry as Quantum ESPRESSO input:
```
&SYSTEM
  ibrav = 0, nat = 10, ntyp = 3
/
ATOMIC_SPECIES
Cl 35.45 Cl.upf
Th 232.04 Th.upf
Ge 72.64 Ge.upf
CELL_PARAMETERS angstrom
-0.081 4.274 4.247
3.217 -2.016 6.365
5.895 4.490 -0.131
ATOMIC_POSITIONS crystal
Cl 0.001 0.000 0.000
Th 0.501 0.000 0.000
Th 0.310 0.793 0.588
Th 0.692 0.207 0.412
Th 0.103 0.588 0.207
Th 0.899 0.412 0.793
Ge 0.205 0.195 0.398
Ge 0.797 0.805 0.602
Ge 0.603 0.602 0.195
Ge 0.399 0.398 0.805
```

---

Entry 9:
A relaxed Th4Ge3Cl crystal. Source: Alexandria via LeMat-Bulk, functional PBE. Values from VASP.

- ΔE_f (raw) (eV per atom) = -0.91

Geometry as Quantum ESPRESSO input:
```
&SYSTEM
  ibrav = 0, nat = 8, ntyp = 3
/
ATOMIC_SPECIES
Ge 72.64 Ge.upf
Th 232.04 Th.upf
Cl 35.45 Cl.upf
CELL_PARAMETERS angstrom
4.295 -0.054 0.073
0.053 7.066 2.076
-0.119 0.423 7.351
ATOMIC_POSITIONS crystal
Ge 0.000 0.500 0.500
Ge 0.500 0.000 0.500
Ge 0.000 0.000 0.000
Th 0.500 0.754 0.254
Th 0.500 0.246 0.746
Th 0.000 0.239 0.261
Th 0.000 0.761 0.739
Cl 0.500 0.500 0.000
```

---

Entry 10:
A relaxed ThGe2Cl8 crystal. Source: Alexandria via LeMat-Bulk, functional PBE. Values from VASP.

- ΔE_f (raw) (eV per atom) = -1.37

Geometry as Quantum ESPRESSO input:
```
&SYSTEM
  ibrav = 0, nat = 11, ntyp = 3
/
ATOMIC_SPECIES
Cl 35.45 Cl.upf
Ge 72.64 Ge.upf
Th 232.04 Th.upf
CELL_PARAMETERS angstrom
7.800 0.173 1.882
1.464 7.245 2.211
0.298 0.022 7.709
ATOMIC_POSITIONS crystal
Cl 0.810 0.108 0.724
Cl 0.190 0.276 0.892
Cl 0.738 0.196 0.196
Cl 0.803 0.664 0.664
Cl 0.810 0.724 0.108
Cl 0.190 0.892 0.276
Cl 0.197 0.336 0.336
Cl 0.262 0.804 0.804
Ge 0.640 0.847 0.847
Ge 0.360 0.153 0.153
Th 0.000 0.000 0.000
```

---

Entry 11:
A relaxed Ti2GeCl8 crystal. Source: Alexandria via LeMat-Bulk, functional PBE. Values from VASP.

- ΔE_f (raw) (eV per atom) = -1.25

Geometry as Quantum ESPRESSO input:
```
&SYSTEM
  ibrav = 0, nat = 11, ntyp = 3
/
ATOMIC_SPECIES
Cl 35.45 Cl.upf
Ti 47.87 Ti.upf
Ge 72.64 Ge.upf
CELL_PARAMETERS angstrom
6.496 0.122 0.093
0.352 7.831 -0.240
0.352 1.878 7.607
ATOMIC_POSITIONS crystal
Cl 0.730 0.184 0.184
Cl 0.233 0.280 0.937
Cl 0.747 0.618 0.618
Cl 0.253 0.382 0.382
Cl 0.767 0.720 0.063
Cl 0.767 0.063 0.720
Cl 0.270 0.816 0.816
Cl 0.233 0.937 0.280
Ti 0.376 0.208 0.208
Ti 0.624 0.792 0.792
Ge 0.000 0.000 0.000
```

---

Entry 12:
A relaxed Ti2Ge2Cl crystal. Source: Alexandria via LeMat-Bulk, functional PBE. Values from VASP.

- ΔE_f (raw) (eV per atom) = -0.50

Geometry as Quantum ESPRESSO input:
```
&SYSTEM
  ibrav = 0, nat = 10, ntyp = 3
/
ATOMIC_SPECIES
Ti 47.87 Ti.upf
Ge 72.64 Ge.upf
Cl 35.45 Cl.upf
CELL_PARAMETERS angstrom
7.043 0.000 0.000
0.000 7.043 0.000
0.000 0.000 3.492
ATOMIC_POSITIONS crystal
Ti 0.672 0.172 0.000
Ti 0.828 0.672 0.000
Ti 0.172 0.328 0.000
Ti 0.328 0.828 0.000
Ge 0.875 0.375 0.500
Ge 0.625 0.875 0.500
Ge 0.375 0.125 0.500
Ge 0.125 0.625 0.500
Cl 0.500 0.500 0.000
Cl 0.000 0.000 0.000
```